Computed, not measured: a relaxed K2BaPb2 crystal at the GGA-PBE level of DFT.

E above lowest polymorph   0.069 eV per atom
Fermi-level density of states   2.7 states/eV/f.u.
Crystal system   tetragonal
DFT formation energy   -0.795 eV/f.u.

The structure in POSCAR format:
```
K2BaPb2
1.0
-3.661 -5.946 -5.738
8.262 -2.500 -2.680
0.110 -3.967 4.041
K Ba Pb
4 2 4
Cartesian
4.496 -8.032 -4.039
0.215 -4.382 -0.338
4.954 -4.643 -0.725
-0.243 -7.770 -3.653
0.000 0.000 0.000
2.300 -4.223 -4.209
2.757 -1.647 -1.692
-1.300 -3.947 -3.839
5.901 -4.500 -4.579
1.844 -6.799 -6.726
```